No. 1
Here is a geometry-optimized K2Rb7 structure from Alexandria. Energies are from GGA-PBE.

Its volume is 778.4 Å³ per cell. The calculated formation energy is 0.006 eV/atom. As for the crystal system: trigonal. The calculation puts the magnetization at 0.00 μB per formula unit. The calculation puts the density at 1.44 g cm⁻³. The calculation puts the raw total energy at -8.91 eV for the cell shown. The relative energy among the computed polymorphs comes out at 0 meV/atom.

a b c (Å): 8.6120 8.6120 12.1190
angles (deg): 90.00 90.00 120.00
Last column: nearest neighbours and their distance in Å.
Sites, in units of the cell vectors:
K 0.3333 0.6667 0.0000  9 Rb 4.91-4.97, 3 K 4.97
K 0.6667 0.3333 0.0000  9 Rb 4.91-4.97, 3 K 4.97
Rb 0.0000 0.0000 0.0000  6 Rb 4.93, 6 K 4.97
Rb 0.0000 0.3357 0.6705  2 K 4.91, 10 Rb 4.93-5.04
Rb 0.0000 0.6643 0.3295  2 K 4.91, 10 Rb 4.93-5.04
Rb 0.3357 0.0000 0.6705  2 K 4.91, 10 Rb 4.93-5.04
Rb 0.3357 0.3357 0.3295  2 K 4.91, 10 Rb 4.93-5.04
Rb 0.6643 0.0000 0.3295  2 K 4.91, 10 Rb 4.93-5.04
Rb 0.6643 0.6643 0.6705  2 K 4.91, 10 Rb 4.93-5.04



No. 2
Here is a geometry-optimized KRb8 structure from Alexandria. Energies are from GGA-PBE.

Its volume is 796.7 Å³ per cell. The calculated formation energy is 0.006 eV/atom. As for the crystal system: tetragonal. The calculation puts the magnetization at 0.00 μB per formula unit. The calculation puts the density at 1.51 g cm⁻³. The calculation puts the raw total energy at -8.79 eV for the cell shown.

a b c (Å): 12.3991 12.3991 12.3991
angles (deg): 92.76 92.76 154.63
Last column: nearest neighbours and their distance in Å.
Sites, in units of the cell vectors:
K 0.0000 0.0000 0.0000  8 Rb 4.80
Rb 0.0000 0.3332 0.3332  10 Rb 4.86-5.44
Rb 0.0000 0.6668 0.6668  10 Rb 4.86-5.44
Rb 0.3332 0.0000 0.3332  10 Rb 4.86-5.44
Rb 0.3367 0.3367 0.6735  2 K 4.80, 6 Rb 4.86-5.00
Rb 0.3367 0.6633 0.0000  2 K 4.80, 6 Rb 4.86-5.00
Rb 0.6633 0.3367 0.0000  2 K 4.80, 6 Rb 4.86-5.00
Rb 0.6633 0.6633 0.3265  2 K 4.80, 6 Rb 4.86-5.00
Rb 0.6668 0.0000 0.6668  10 Rb 4.86-5.44



No. 3
Here is a geometry-optimized K3Rb7 structure from Alexandria. Energies are from GGA-PBE.

Its volume is 1761.4 Å³ per cell. The calculated formation energy is 0.031 eV/atom. As for the crystal system: hexagonal. The calculation puts the magnetization at 0.00 μB per formula unit. The calculation puts the density at 1.35 g cm⁻³. The calculation puts the raw total energy at -19.52 eV for the cell shown. The relative energy among the computed polymorphs comes out at 27 meV/atom.

a b c (Å): 14.4266 14.4266 9.7721
angles (deg): 90.00 90.00 120.00
Last column: nearest neighbours and their distance in Å.
Sites, in units of the cell vectors:
K 0.2163 0.4327 0.0000  8 Rb 4.48-4.99
K 0.2163 0.7837 0.0000  8 Rb 4.48-4.99
K 0.4327 0.2163 0.5000  8 Rb 4.48-4.99
K 0.5673 0.7837 0.0000  8 Rb 4.48-4.99
K 0.7837 0.2163 0.5000  8 Rb 4.48-4.99
K 0.7837 0.5673 0.5000  8 Rb 4.48-4.99
Rb 0.0552 0.5276 0.3173  4 K 4.48-4.59, 1 Rb 4.65
Rb 0.1209 0.2418 0.5510  3 K 4.72-4.99, 4 Rb 5.20-5.23
Rb 0.1209 0.8791 0.5510  3 K 4.72-4.99, 4 Rb 5.20-5.23
Rb 0.2418 0.1209 0.0510  3 K 4.72-4.99, 4 Rb 5.20-5.23
Rb 0.3333 0.6667 0.6335  3 K 4.62, 6 Rb 4.65-5.18
Rb 0.4724 0.5276 0.3173  4 K 4.48-4.59, 1 Rb 4.65
Rb 0.4724 0.9448 0.3173  4 K 4.48-4.59, 1 Rb 4.65
Rb 0.5276 0.0552 0.8173  4 K 4.48-4.59, 1 Rb 4.65
Rb 0.5276 0.4724 0.8173  4 K 4.48-4.59, 1 Rb 4.65
Rb 0.6667 0.3333 0.1335  3 K 4.62, 6 Rb 4.65-5.18
Rb 0.7582 0.8791 0.5510  3 K 4.72-4.99, 4 Rb 5.20-5.23
Rb 0.8791 0.1209 0.0510  3 K 4.72-4.99, 4 Rb 5.20-5.23
Rb 0.8791 0.7582 0.0510  3 K 4.72-4.99, 4 Rb 5.20-5.23
Rb 0.9448 0.4724 0.8173  4 K 4.48-4.59, 1 Rb 4.65



No. 4
Here is a geometry-optimized K8Rb5 structure from Alexandria. Energies are from GGA-PBE.

Its volume is 1081.6 Å³ per cell. The calculated formation energy is 0.047 eV/atom. As for the crystal system: monoclinic. The calculation puts the magnetization at 0.00 μB per formula unit. The calculation puts the density at 1.14 g cm⁻³. The calculation puts the raw total energy at -13.01 eV for the cell shown.

a b c (Å): 11.8590 11.8590 15.0558
angles (deg): 129.06 129.06 44.17
Last column: nearest neighbours and their distance in Å.
Sites, in units of the cell vectors:
K 0.0041 0.0041 0.3198  7 K 4.93-5.48, 7 Rb 5.23-5.43
K 0.0148 0.5337 0.2845  4 K 4.29-4.63, 4 Rb 4.31-4.73
K 0.3403 0.3403 0.6005  4 K 4.46-4.55, 1 Rb 4.67
K 0.4663 0.9852 0.7155  4 K 4.29-4.63, 4 Rb 4.31-4.73
K 0.5337 0.0148 0.2845  4 K 4.29-4.63, 4 Rb 4.31-4.73
K 0.6597 0.6597 0.3995  4 K 4.46-4.55, 1 Rb 4.67
K 0.9852 0.4663 0.7155  4 K 4.29-4.63, 4 Rb 4.31-4.73
K 0.9959 0.9959 0.6802  7 K 4.93-5.48, 7 Rb 5.23-5.43
Rb 0.2453 0.7547 0.0000  2 Rb 4.38-4.54, 2 K 4.42
Rb 0.3284 0.3284 0.0703  4 K 4.67-4.73, 5 Rb 4.78-5.13
Rb 0.5000 0.5000 0.5000  6 K 4.31-4.67, 2 Rb 4.78
Rb 0.6716 0.6716 0.9297  4 K 4.67-4.73, 5 Rb 4.78-5.13
Rb 0.7547 0.2453 0.0000  2 Rb 4.38-4.54, 2 K 4.42



No. 5
Here is a geometry-optimized K4Rb5 structure from Alexandria. Energies are from GGA-PBE.

Its volume is 739.8 Å³ per cell. The calculated formation energy is 0.006 eV/atom. As for the crystal system: tetragonal. The calculation puts the magnetization at 0.00 μB per formula unit. The calculation puts the density at 1.31 g cm⁻³. The calculation puts the raw total energy at -9.18 eV for the cell shown.

a b c (Å): 10.8356 10.8356 10.8356
angles (deg): 96.07 96.07 142.05
Last column: nearest neighbours and their distance in Å.
Sites, in units of the cell vectors:
K 0.0000 0.3413 0.3413  5 K 4.60-4.79, 7 Rb 4.80-4.96
K 0.0000 0.6587 0.6587  5 K 4.60-4.79, 7 Rb 4.80-4.96
K 0.3413 0.0000 0.3413  5 K 4.60-4.79, 7 Rb 4.80-4.96
K 0.6587 0.0000 0.6587  5 K 4.60-4.79, 7 Rb 4.80-4.96
Rb 0.0000 0.0000 0.0000  8 Rb 4.94, 4 K 4.95
Rb 0.3313 0.3313 0.6626  6 K 4.80-4.96, 6 Rb 4.85-4.94
Rb 0.3313 0.6687 0.0000  6 K 4.80-4.96, 6 Rb 4.85-4.94
Rb 0.6687 0.3313 0.0000  6 K 4.80-4.96, 6 Rb 4.85-4.94
Rb 0.6687 0.6687 0.3374  6 K 4.80-4.96, 6 Rb 4.85-4.94



No. 6
Here is a geometry-optimized K5Rb24 structure from Alexandria. Energies are from GGA-PBE.

Its volume is 2571.6 Å³ per cell. The calculated formation energy is 0.021 eV/atom. As for the crystal system: cubic. The calculation puts the magnetization at 0.00 μB per formula unit. The calculation puts the density at 1.45 g cm⁻³. The calculation puts the raw total energy at -28.10 eV for the cell shown.

a b c (Å): 14.9489 14.9489 14.9489
angles (deg): 109.47 109.47 109.47
Last column: nearest neighbours and their distance in Å.
Sites, in units of the cell vectors:
K 0.0000 0.0000 0.0000  4 K 5.28, 12 Rb 5.36
K 0.0000 0.0000 0.6468  9 Rb 4.83-5.19, 1 K 5.28
K 0.0000 0.6468 0.0000  9 Rb 4.83-5.19, 1 K 5.28
K 0.3532 0.3532 0.3532  9 Rb 4.83-5.19, 1 K 5.28
K 0.6468 0.0000 0.0000  9 Rb 4.83-5.19, 1 K 5.28
Rb 0.0000 0.1894 0.3737  8 Rb 4.50-5.02
Rb 0.0000 0.3737 0.1894  8 Rb 4.50-5.02
Rb 0.0000 0.4092 0.6877  11 Rb 4.75-5.25, 1 K 4.83
Rb 0.0000 0.6877 0.4092  11 Rb 4.75-5.25, 1 K 4.83
Rb 0.1843 0.8106 0.8106  8 Rb 4.50-5.02
Rb 0.1894 0.0000 0.3737  8 Rb 4.50-5.02
Rb 0.1894 0.3737 0.0000  8 Rb 4.50-5.02
Rb 0.2784 0.5908 0.5908  11 Rb 4.75-5.25, 1 K 4.83
Rb 0.3123 0.3123 0.7216  11 Rb 4.75-5.25, 1 K 4.83
Rb 0.3123 0.7216 0.3123  11 Rb 4.75-5.25, 1 K 4.83
Rb 0.3737 0.0000 0.1894  8 Rb 4.50-5.02
Rb 0.3737 0.1894 0.0000  8 Rb 4.50-5.02
Rb 0.4092 0.0000 0.6877  11 Rb 4.75-5.25, 1 K 4.83
Rb 0.4092 0.6877 0.0000  11 Rb 4.75-5.25, 1 K 4.83
Rb 0.5908 0.2784 0.5908  11 Rb 4.75-5.25, 1 K 4.83
Rb 0.5908 0.5908 0.2784  11 Rb 4.75-5.25, 1 K 4.83
Rb 0.6263 0.6263 0.8157  8 Rb 4.50-5.02
Rb 0.6263 0.8157 0.6263  8 Rb 4.50-5.02
Rb 0.6877 0.0000 0.4092  11 Rb 4.75-5.25, 1 K 4.83
Rb 0.6877 0.4092 0.0000  11 Rb 4.75-5.25, 1 K 4.83
Rb 0.7216 0.3123 0.3123  11 Rb 4.75-5.25, 1 K 4.83
Rb 0.8106 0.1843 0.8106  8 Rb 4.50-5.02
Rb 0.8106 0.8106 0.1843  8 Rb 4.50-5.02
Rb 0.8157 0.6263 0.6263  8 Rb 4.50-5.02



No. 7
Here is a geometry-optimized K5Rb4 structure from Alexandria. Energies are from GGA-PBE.

Its volume is 720.9 Å³ per cell. The calculated formation energy is 0.005 eV/atom. As for the crystal system: tetragonal. The calculation puts the magnetization at 0.00 μB per formula unit. The calculation puts the density at 1.24 g cm⁻³. The calculation puts the raw total energy at -9.31 eV for the cell shown.

a b c (Å): 10.7231 10.7231 10.7231
angles (deg): 96.15 96.15 141.78
Last column: nearest neighbours and their distance in Å.
Sites, in units of the cell vectors:
K 0.0000 0.0000 0.0000  4 Rb 4.67, 8 K 4.83
K 0.3355 0.3368 0.6723  6 K 4.69-4.95, 6 Rb 4.81-4.83
K 0.3368 0.6645 0.0013  6 K 4.69-4.95, 6 Rb 4.81-4.83
K 0.6632 0.3355 0.9987  6 K 4.69-4.95, 6 Rb 4.81-4.83
K 0.6645 0.6632 0.3277  6 K 4.69-4.95, 6 Rb 4.81-4.83
Rb 0.0003 0.3263 0.3266  7 K 4.67-4.83, 5 Rb 4.97-4.98
Rb 0.9997 0.6737 0.6734  7 K 4.67-4.83, 5 Rb 4.97-4.98
Rb 0.3263 0.9997 0.3259  7 K 4.67-4.83, 5 Rb 4.97-4.98
Rb 0.6737 0.0003 0.6741  7 K 4.67-4.83, 5 Rb 4.97-4.98



No. 8
Here is a geometry-optimized K6Rb structure from Alexandria. Energies are from GGA-PBE.

Its volume is 520.7 Å³ per cell. The calculated formation energy is 0.003 eV/atom. As for the crystal system: trigonal. The calculation puts the magnetization at 0.00 μB per formula unit. The calculation puts the density at 1.02 g cm⁻³. The calculation puts the raw total energy at -7.53 eV for the cell shown. The relative energy among the computed polymorphs comes out at 0 meV/atom.

a b c (Å): 11.5848 11.5848 11.5848
angles (deg): 118.31 118.31 118.31
Last column: nearest neighbours and their distance in Å.
Sites, in units of the cell vectors:
K 0.0837 0.6502 0.7917  7 K 4.52-4.63, 1 Rb 4.67
K 0.2083 0.9163 0.3498  7 K 4.52-4.63, 1 Rb 4.67
K 0.3498 0.2083 0.9163  7 K 4.52-4.63, 1 Rb 4.67
K 0.6502 0.7917 0.0837  7 K 4.52-4.63, 1 Rb 4.67
K 0.7917 0.0837 0.6502  7 K 4.52-4.63, 1 Rb 4.67
K 0.9163 0.3498 0.2083  7 K 4.52-4.63, 1 Rb 4.67
Rb 0.5000 0.5000 0.5000  2 Rb 4.56, 6 K 4.67



No. 9
Here is a geometry-optimized K4Rb5 structure from Alexandria. Energies are from GGA-PBE.

Its volume is 737.8 Å³ per cell. The calculated formation energy is 0.007 eV/atom. As for the crystal system: tetragonal. The calculation puts the magnetization at 0.00 μB per formula unit. The calculation puts the density at 1.31 g cm⁻³. The calculation puts the raw total energy at -9.16 eV for the cell shown.

a b c (Å): 12.0904 12.0904 12.0904
angles (deg): 92.76 92.76 154.67
Last column: nearest neighbours and their distance in Å.
Sites, in units of the cell vectors:
K 0.0000 0.3396 0.3396  4 K 4.62, 4 Rb 4.80
K 0.0000 0.6604 0.6604  4 K 4.62, 4 Rb 4.80
K 0.3396 0.0000 0.3396  4 K 4.62, 4 Rb 4.80
K 0.6604 0.0000 0.6604  4 K 4.62, 4 Rb 4.80
Rb 0.0000 0.0000 0.0000  10 Rb 4.75-5.30
Rb 0.3330 0.3330 0.6660  4 Rb 4.73-4.75, 4 K 4.80
Rb 0.3330 0.6670 0.0000  4 Rb 4.73-4.75, 4 K 4.80
Rb 0.6670 0.3330 0.0000  4 Rb 4.73-4.75, 4 K 4.80
Rb 0.6670 0.6670 0.3340  4 Rb 4.73-4.75, 4 K 4.80



No. 10
Here is a geometry-optimized KRb8 structure from Alexandria. Energies are from GGA-PBE.

Its volume is 798.0 Å³ per cell. The calculated formation energy is 0.005 eV/atom. As for the crystal system: tetragonal. The calculation puts the magnetization at 0.00 μB per formula unit. The calculation puts the density at 1.50 g cm⁻³. The calculation puts the raw total energy at -8.79 eV for the cell shown.

a b c (Å): 11.1213 11.1213 11.1213
angles (deg): 96.03 96.03 142.18
Last column: nearest neighbours and their distance in Å.
Sites, in units of the cell vectors:
K 0.0000 0.0000 0.0000  12 Rb 4.93-4.99
Rb 0.0000 0.3312 0.3312  1 K 4.93, 11 Rb 5.00-5.06
Rb 0.0000 0.6688 0.6688  1 K 4.93, 11 Rb 5.00-5.06
Rb 0.3312 0.0000 0.3312  1 K 4.93, 11 Rb 5.00-5.06
Rb 0.3360 0.3360 0.6721  10 Rb 4.88-5.11, 2 K 4.99
Rb 0.3360 0.6640 0.0000  10 Rb 4.88-5.11, 2 K 4.99
Rb 0.6640 0.3360 0.0000  10 Rb 4.88-5.11, 2 K 4.99
Rb 0.6640 0.6640 0.3279  10 Rb 4.88-5.11, 2 K 4.99
Rb 0.6688 0.0000 0.6688  1 K 4.93, 11 Rb 5.00-5.06